Ag3H2Pd5: optimized geometry, PBE.

Cell lengths 5.8189, 7.6432, 7.6432 Å; angles 64.39, 67.63, 67.63 degrees
Atoms (fractional coordinates):
Pd1 0.6209 0.1408 0.6175
Pd2 0.4993 0.2507 0.2507
Ag1 0.7500 0.0000 0.0000
Pd3 0.0007 0.7493 0.7493
Pd4 0.3791 0.8592 0.3825
Ag2 0.6265 0.6175 0.1295
Ag3 0.3735 0.3825 0.8705
Pd5 0.9993 0.2507 0.2507
H1 0.1704 0.7713 0.8879
Pd6 0.2500 0.5000 0.5000
H2 0.8296 0.2287 0.1121
Ag4 0.2500 0.0000 0.0000
Ag5 0.1265 0.1295 0.6175
Pd7 0.8791 0.3825 0.8592
H3 0.6704 0.8879 0.7713
H4 0.3296 0.1121 0.2287
Ag6 0.8735 0.8705 0.3825
Pd8 0.5007 0.7493 0.7493
Pd9 0.1209 0.6175 0.1408
Pd10 0.7500 0.5000 0.5000

Calculated values
- SG: Ibam
- Density: 10.405 g/cm3
- Final energy: -4.178 eV per atom
- V: 136.9 Å³/f.u.